1.
Here is NdHo3Tm2 after structural relaxation from the Alexandria database. Energies are from GGA-PBE.

Cell lengths 9.359, 9.359, 6.122 Å; angles 90.15, 90.15, 44.42 degrees
Sites, in units of the cell vectors:
Nd (0.126, 0.874, 0.750)
Nd (0.874, 0.126, 0.250)
Ho (0.043, 0.294, 0.915)
Ho (0.294, 0.043, 0.415)
Ho (0.376, 0.624, 0.250)
Ho (0.624, 0.376, 0.750)
Ho (0.706, 0.957, 0.585)
Ho (0.957, 0.706, 0.085)
Tm (0.208, 0.457, 0.583)
Tm (0.457, 0.208, 0.083)
Tm (0.543, 0.792, 0.917)
Tm (0.792, 0.543, 0.417)

Computed properties:
For the energy of formation from the pure elements, the calculation gives 2 kJ/mol of atoms. The energy relative to the lowest polymorph listed for this composition is 25 meV/atom.

---

2.
Here is PmNpTe2S after structural relaxation from the Alexandria database. Energies are from GGA-PBE.

Cell lengths 4.478, 4.478, 15.576 Å; angles 90.00, 90.00, 90.00 degrees
Sites, in units of the cell vectors:
Pm (0.250, 0.250, 0.102)
Pm (0.750, 0.750, 0.898)
Np (0.250, 0.250, 0.606)
Np (0.750, 0.750, 0.394)
Te (0.250, 0.250, 0.402)
Te (0.250, 0.250, 0.797)
Te (0.750, 0.750, 0.203)
Te (0.750, 0.750, 0.598)
S (0.250, 0.750, 0.000)
S (0.750, 0.250, 0.000)

Computed properties:
The value obtained for the uncorrected formation energy is -1124 meV per atom.

---

Copy entry 1 word for word.
Here is NdHo3Tm2 after structural relaxation from the Alexandria database. Energies are from GGA-PBE.

Cell lengths 9.359, 9.359, 6.122 Å; angles 90.15, 90.15, 44.42 degrees
Sites, in units of the cell vectors:
Nd (0.126, 0.874, 0.750)
Nd (0.874, 0.126, 0.250)
Ho (0.043, 0.294, 0.915)
Ho (0.294, 0.043, 0.415)
Ho (0.376, 0.624, 0.250)
Ho (0.624, 0.376, 0.750)
Ho (0.706, 0.957, 0.585)
Ho (0.957, 0.706, 0.085)
Tm (0.208, 0.457, 0.583)
Tm (0.457, 0.208, 0.083)
Tm (0.543, 0.792, 0.917)
Tm (0.792, 0.543, 0.417)

Computed properties:
For the energy of formation from the pure elements, the calculation gives 2 kJ/mol of atoms. The energy relative to the lowest polymorph listed for this composition is 25 meV/atom.